*a*
VASP calculation (PBE) on a relaxed Fe3OsCl crystal.

extended XYZ file:
```
5
Lattice="4.686 0.000 0.000 0.000 4.686 0.000 0.000 0.000 4.686" Properties=species:S:1:pos:R:3 pbc="T T T"
Fe 0.000 0.000 2.343
Fe 0.000 2.343 0.000
Fe 2.343 0.000 0.000
Os 0.000 0.000 0.000
Cl 2.343 2.343 2.343
```

***

*b*
VASP calculation (PBE) on a relaxed Fe3OsCl crystal.

extended XYZ file:
```
5
Lattice="4.019 0.000 0.000 0.000 4.019 0.000 0.000 0.000 4.019" Properties=species:S:1:pos:R:3 pbc="T T T"
Fe 0.000 0.000 2.009
Fe 0.000 2.009 0.000
Fe 2.009 0.000 0.000
Os 2.009 2.009 2.009
Cl 0.000 0.000 0.000
```

***

*b* comes first in stability; the runner-up is 91 meV/atom higher.